Computed, not measured: a relaxed CaLaSc3 crystal at the PBE-GGA level of DFT.

Properties
- N(E_F): 9.8 states/eV per cell
- Energy of formation: 0.6418 eV/atom
- Energy: -4.54 eV per atom
- Polymorph energy (0 for the lowest one): 0.0000 eV per atom

```
data_CaLaSc3
_space_group_name_H-M_alt 'P m -3 m'
_space_group_IT_number 221
_space_group_name_Hall '-P 4 2 3'
_cell_length_a 5.377
_cell_length_b 5.377
_cell_length_c 5.377
_cell_angle_alpha 90.00
_cell_angle_beta 90.00
_cell_angle_gamma 90.00
loop_
_atom_site_label
_atom_site_fract_x
_atom_site_fract_y
_atom_site_fract_z
Ca1 0.000 0.000 0.000
La1 0.500 0.500 0.500
Sc1 0.000 0.500 0.500
```